Nd3NiGe | PBE | optimized geometry

Cell: 4.2070 7.8706 8.2860 Å, 89.83 90.00 74.52°
Closest atoms and distances in Å follow each position.
Space group P-1 (No. 2)
Inequivalent atoms, fractional coordinates:
Nd: 0.0430 0.4145 0.1812 [2 per cell]  4 Ge 3.13-3.27, 1 Nd 3.27, 1 Ni 3.34
Nd: 0.2451 0.0106 0.8043 [2 per cell]  3 Ni 3.00-3.05, 3 Ge 3.10-3.12
Nd: 0.3944 0.7109 0.4449 [2 per cell]  3 Ni 2.78-2.82
Ni: 0.2112 0.0768 0.4407 [2 per cell]  2 Ni 2.59-2.60, 3 Nd 2.78-2.82
Ge: 0.3898 0.7203 0.0689 [2 per cell]  8 Nd 3.10-3.27

Calculated values
Formation enthalpy at 0 K = -41.4 kJ per mole of atoms


NdNiGe | PBE | optimized geometry

Cell: 4.1338 4.1338 12.4265 Å, 90.00 90.00 120.00°
Closest atoms and distances in Å follow each position.
Space group P-6m2 (No. 187)
Inequivalent atoms, fractional coordinates:
Nd: 0.0000 0.0000 0.0000 [1 per cell]  6 Ge 3.16, 6 Ni 3.18
Nd: 0.0000 0.0000 0.3340 [2 per cell]  6 Ni 3.15, 6 Ge 3.15-3.17
Ni: 0.3333 0.6667 0.5000 [1 per cell]  3 Ge 2.39
Ni: 0.6667 0.3333 0.1686 [2 per cell]  3 Ge 2.39
Ge: 0.3333 0.6667 0.1665 [2 per cell]  3 Ni 2.39
Ge: 0.6667 0.3333 0.5000 [1 per cell]  3 Ni 2.39

Calculated values
Formation enthalpy at 0 K = -68.0 kJ per mole of atoms


NdNiGe | PBE | optimized geometry

Cell: 7.2566 4.3590 7.3206 Å, 90.00 90.00 90.00°
Closest atoms and distances in Å follow each position.
Space group Pnma (No. 62)
Inequivalent atoms, fractional coordinates:
Nd: 0.0136 0.2500 0.2022 [4 per cell]  4 Ni 2.98-3.13, 6 Ge 3.05-3.17
Ni: 0.1871 0.7500 0.4191 [4 per cell]  4 Ge 2.51-2.75
Ge: 0.1914 0.2500 0.5898 [4 per cell]  4 Ni 2.51-2.75

Calculated values
Formation enthalpy at 0 K = -67.6 kJ per mole of atoms


Nd3Ni5Ge2 | PBE | optimized geometry

Cell: 10.6422 12.1985 5.7449 Å, 90.00 90.00 90.00°
Closest atoms and distances in Å follow each position.
Space group Ibam (No. 72)
Inequivalent atoms, fractional coordinates:
Nd: 0.0000 0.0000 0.2500 [4 per cell]  2 Ni 2.75, 2 Nd 2.87, 4 Ge 2.94
Nd: 0.2006 0.3840 0.0000 [8 per cell]  8 Ni 2.94-3.26, 3 Ge 2.95-3.17
Ni: 0.0000 0.2257 0.2500 [8 per cell]  2 Ni 2.47, 2 Ge 2.57, 1 Nd 2.75
Ni: 0.0000 0.5000 0.2500 [4 per cell]  4 Ni 2.47
Ni: 0.1041 0.3627 0.5000 [8 per cell]  1 Ge 2.34, 4 Ni 2.47
Ge: 0.1762 0.1431 0.0000 [8 per cell]  3 Ni 2.34-2.57

Calculated values
Formation enthalpy at 0 K = -25.7 kJ per mole of atoms


NdNi4Ge4 | PBE | optimized geometry

Cell: 8.0994 8.0994 4.5727 Å, 90.00 90.00 90.00°
Closest atoms and distances in Å follow each position.
Space group I4/m (No. 87)
Inequivalent atoms, fractional coordinates:
Nd: 0.0000 0.0000 0.0000 [2 per cell]  4 Ni 3.07, 4 Ge 3.26
Ni: 0.1698 0.3148 0.5000 [8 per cell]  5 Ge 2.31-2.54
Ge: 0.1173 0.6245 0.5000 [8 per cell]  5 Ni 2.31-2.54

Calculated values
Formation enthalpy at 0 K = -32.6 kJ per mole of atoms


Nd2Ni12Ge7 | PBE | optimized geometry

Cell: 9.4502 9.4502 3.8545 Å, 90.00 90.00 120.00°
Closest atoms and distances in Å follow each position.
Space group P-6 (No. 174)
Inequivalent atoms, fractional coordinates:
Nd: 0.0000 0.0000 0.0000 [1 per cell]  6 Ge 3.07, 12 Ni 3.16-3.22
Nd: 0.3333 0.6667 0.5000 [1 per cell]  6 Ge 3.06, 9 Ni 3.09-3.30
Ni: 0.0333 0.7507 0.5000 [3 per cell]  4 Ge 2.45-2.48, 5 Ni 2.65-2.72
Ni: 0.1175 0.3841 0.0000 [3 per cell]  4 Ge 2.38-2.40, 1 Ni 2.61
Ni: 0.3857 0.1979 0.0000 [3 per cell]  4 Ge 2.30-2.39
Ni: 0.5612 0.1350 0.5000 [3 per cell]  5 Ge 2.45-2.59, 1 Ni 2.66
Ge: 0.0550 0.6014 0.0000 [3 per cell]  7 Ni 2.36-2.59
Ge: 0.2662 0.0294 0.5000 [3 per cell]  7 Ni 2.38-2.48
Ge: 0.6667 0.3333 0.0000 [1 per cell]  9 Ni 2.30-2.52

Calculated values
Formation enthalpy at 0 K = -45.8 kJ per mole of atoms


Nd5Ni2Ge5 | PBE | optimized geometry

Cell: 15.3047 4.2218 11.4950 Å, 90.00 131.49 90.00°
Closest atoms and distances in Å follow each position.
Space group C2/m (No. 12)
Inequivalent atoms, fractional coordinates:
Nd: 0.0000 0.0000 0.0000 [2 per cell]  6 Ge 3.05-3.18, 4 Ni 3.05
Nd: 0.1142 0.0000 0.4215 [4 per cell]  7 Ge 3.04-3.23, 3 Ni 3.05-3.09
Nd: 0.1954 0.0000 0.8192 [4 per cell]  5 Ge 3.03-3.18, 1 Ni 3.08
Ni: 0.1443 0.5000 0.2542 [4 per cell]  3 Ge 2.45-2.46
Ge: 0.0000 0.5000 0.5000 [2 per cell]  2 Ge 2.90, 4 Nd 3.23
Ge: 0.0564 0.5000 0.8501 [4 per cell]  1 Ni 2.45
Ge: 0.2491 0.0000 0.3126 [4 per cell]  2 Ni 2.46

Calculated values
Formation enthalpy at 0 K = -68.5 kJ per mole of atoms


NdNiGe | PBE | optimized geometry

Cell: 4.1256 4.1256 4.1658 Å, 90.00 90.00 120.00°
Closest atoms and distances in Å follow each position.
Space group P-6m2 (No. 187)
Inequivalent atoms, fractional coordinates:
Nd: 0.0000 0.0000 0.0000 [1 per cell]  6 Ge 3.16, 6 Ni 3.16
Ni: 0.3333 0.6667 0.5000 [1 per cell]  3 Ge 2.38
Ge: 0.6667 0.3333 0.5000 [1 per cell]  3 Ni 2.38

Calculated values
Formation enthalpy at 0 K = -67.0 kJ per mole of atoms


Nd2NiGe | PBE | optimized geometry

Cell: 3.5403 3.5403 7.4137 Å, 90.00 90.00 90.00°
Closest atoms and distances in Å follow each position.
Space group P4/mmm (No. 123)
Inequivalent atoms, fractional coordinates:
Nd: 0.0000 0.0000 0.2363 [2 per cell]  4 Ni 3.06, 4 Ge 3.18
Ni: 0.5000 0.5000 0.0000 [1 per cell]  8 Nd 3.06
Ge: 0.5000 0.5000 0.5000 [1 per cell]  8 Nd 3.18, 4 Ge 3.54

Calculated values
Formation enthalpy at 0 K = -40.6 kJ per mole of atoms


NdNi3Ge | PBE | optimized geometry

Cell: 6.2953 6.3070 4.4532 Å, 90.00 90.00 90.00°
Closest atoms and distances in Å follow each position.
Space group Cmmm (No. 65)
Inequivalent atoms, fractional coordinates:
Nd: 0.0000 0.0000 0.0000 [2 per cell]  12 Ni 3.15
Ni: 0.0000 0.5000 0.0000 [2 per cell]  2 Ge 2.23
Ni: 0.2500 0.2500 0.5000 [4 per cell]  2 Ge 2.23
Ge: 0.0000 0.5000 0.5000 [2 per cell]  6 Ni 2.23

Calculated values
Formation enthalpy at 0 K = -11.0 kJ per mole of atoms
Energy relative to the lowest polymorph listed for this composition = 148 meV/atom


NdNi2Ge4 | PBE | optimized geometry

Cell: 17.8010 4.1078 6.6233 Å, 90.00 90.00 90.00°
Closest atoms and distances in Å follow each position.
Space group Pnma (No. 62)
Inequivalent atoms, fractional coordinates:
Nd: 0.1400 0.2500 0.0295 [4 per cell]  8 Ge 2.98-3.13
Ni: 0.0335 0.7500 0.7484 [4 per cell]  7 Ge 2.42-2.62
Ni: 0.2071 0.2500 0.5022 [4 per cell]  6 Ge 2.44-2.54
Ge: 0.0243 0.7500 0.1375 [4 per cell]  3 Ni 2.42-2.58
Ge: 0.0657 0.2500 0.5192 [4 per cell]  4 Ni 2.50-2.62, 1 Ge 2.78
Ge: 0.1766 0.7500 0.7049 [4 per cell]  3 Ni 2.51-2.56, 1 Ge 2.70
Ge: 0.2055 0.7500 0.3044 [4 per cell]  3 Ni 2.44-2.54, 1 Ge 2.70

Calculated values
Formation enthalpy at 0 K = -41.4 kJ per mole of atoms


Nd2Ni15Ge2 | PBE | optimized geometry

Cell: 8.4217 8.4217 12.3255 Å, 90.00 90.00 120.00°
Closest atoms and distances in Å follow each position.
Space group R-3m (No. 166, hexagonal axes)
Inequivalent atoms, fractional coordinates:
Nd: 0.0000 0.0000 0.1502 [6 per cell]  18 Ni 2.98-3.32, 1 Ge 3.02
Ni: 0.0000 0.2974 0.5000 [18 per cell]  8 Ni 2.42-2.57
Ni: 0.0000 0.5000 0.0000 [9 per cell]  8 Ni 2.42, 2 Ge 2.55
Ni: 0.0037 0.5018 0.3438 [18 per cell]  8 Ni 2.42-2.57, 1 Ge 2.57
Ge: 0.0000 0.0000 0.3956 [6 per cell]  12 Ni 2.55-2.82, 1 Ge 2.57

Calculated values
Formation enthalpy at 0 K = -19.7 kJ per mole of atoms


NdNiGe3 | PBE | optimized geometry

Cell: 4.1521 4.1937 11.1561 Å, 90.00 100.66 90.00°
Closest atoms and distances in Å follow each position.
Space group P2/m (No. 10)
Inequivalent atoms, fractional coordinates:
Nd: 0.1688 0.0000 0.3374 [2 per cell]  10 Ge 3.12-3.29, 4 Ni 3.22-3.23
Ni: 0.3922 0.5000 0.7821 [2 per cell]  5 Ge 2.34-2.39
Ge: 0.0568 0.5000 0.1137 [2 per cell]  2 Ni 2.37, 1 Ge 2.49
Ge: 0.2837 0.5000 0.5684 [2 per cell]  1 Ni 2.34, 2 Ge 2.56
Ge: 0.4405 0.0000 0.8860 [2 per cell]  2 Ni 2.39, 1 Ge 2.50

Calculated values
Formation enthalpy at 0 K = -57.8 kJ per mole of atoms


Nd2Ni5Ge2 | PBE | optimized geometry

Cell: 4.1858 4.1858 8.4045 Å, 90.00 90.00 90.00°
Closest atoms and distances in Å follow each position.
Space group P4/mmm (No. 123)
Inequivalent atoms, fractional coordinates:
Nd: 0.0000 0.0000 0.0000 [1 per cell]  12 Ni 2.78-2.96
Nd: 0.0000 0.0000 0.5000 [1 per cell]  8 Ni 3.16, 8 Ge 3.25
Ni: 0.0000 0.5000 0.2181 [4 per cell]  2 Ge 2.34
Ni: 0.5000 0.5000 0.0000 [1 per cell]  8 Ni 2.78, 2 Ge 2.87, 4 Nd 2.96
Ge: 0.5000 0.5000 0.3413 [2 per cell]  4 Ni 2.34

Calculated values
Formation enthalpy at 0 K = -40.1 kJ per mole of atoms


Nd8NiGe2 | PBE | optimized geometry

Cell: 19.0318 4.7797 7.1227 Å, 90.00 102.09 90.00°
Closest atoms and distances in Å follow each position.
Space group C2/m (No. 12)
Inequivalent atoms, fractional coordinates:
Nd: 0.0162 0.0000 0.2848 [4 per cell]  2 Ni 2.89, 1 Ge 3.22
Nd: 0.0947 0.5000 0.9872 [4 per cell]  2 Ge 3.28, 7 Nd 3.49-3.65, 1 Ni 3.56
Nd: 0.1531 0.5000 0.5012 [4 per cell]  1 Ni 2.91, 3 Ge 3.09-3.26
Nd: 0.2154 0.0000 0.8329 [4 per cell]  3 Ge 3.18-3.22, 4 Nd 3.39-3.44
Ni: 0.0000 0.5000 0.5000 [2 per cell]  6 Nd 2.89-2.91
Ge: 0.1822 0.0000 0.2522 [4 per cell]  9 Nd 3.09-3.28

Calculated values
Formation enthalpy at 0 K = -31.8 kJ per mole of atoms


Nd2Ni5Ge4 | PBE | optimized geometry

Cell: 5.4860 9.6517 13.8951 Å, 90.00 90.00 90.00°
Closest atoms and distances in Å follow each position.
Space group Fmmm (No. 69)
Inequivalent atoms, fractional coordinates:
Nd: 0.0000 0.0000 0.1389 [8 per cell]  6 Ge 3.13-3.33, 10 Ni 3.18-3.38
Ni: 0.0000 0.0000 0.5000 [4 per cell]  4 Ge 2.34
Ni: 0.2500 0.2500 0.0000 [8 per cell]  4 Ge 2.44
Ni: 0.2500 0.2500 0.2500 [8 per cell]  4 Ge 2.35
Ge: 0.0000 0.1550 0.3704 [16 per cell]  5 Ni 2.34-2.44

Calculated values
Formation enthalpy at 0 K = -51.8 kJ per mole of atoms


NdNi4Ge12 | PBE | optimized geometry

Cell: 8.4253 8.4253 8.4253 Å, 90.00 90.00 90.00°
Closest atoms and distances in Å follow each position.
Space group Im-3 (No. 204)
Inequivalent atoms, fractional coordinates:
Nd: 0.0000 0.0000 0.0000 [2 per cell]  12 Ge 3.23
Ni: 0.2500 0.2500 0.2500 [8 per cell]  6 Ge 2.38
Ge: 0.0000 0.1625 0.3478 [24 per cell]  2 Ni 2.38, 1 Ge 2.56

Calculated values
Formation enthalpy at 0 K = -20.6 kJ per mole of atoms


NdNi4GeP2 | PBE | optimized geometry

Cell: 3.9453 3.9453 7.4266 Å, 90.00 90.00 90.00°
Closest atoms and distances in Å follow each position.
Space group P4/mmm (No. 123)
Inequivalent atoms, fractional coordinates:
Nd: 0.0000 0.0000 0.0000 [1 per cell]  8 P 3.04, 8 Ni 3.06
Ni: 0.0000 0.5000 0.3146 [4 per cell]  2 P 2.27, 2 Ge 2.41
Ge: 0.0000 0.0000 0.5000 [1 per cell]  8 Ni 2.41
P: 0.5000 0.5000 0.1640 [2 per cell]  4 Ni 2.27, 1 P 2.44

Calculated values
Formation enthalpy at 0 K = -65.9 kJ per mole of atoms


Nd2PaNi4Ge3 | PBE | optimized geometry

Cell: 4.2479 4.2479 10.1629 Å, 90.00 90.00 90.00°
Closest atoms and distances in Å follow each position.
Space group P-4m2 (No. 115)
Inequivalent atoms, fractional coordinates:
Nd: 0.0000 0.5000 0.2203 [2 per cell]  8 Ni 3.09-3.29, 5 Ge 3.18-3.45
Pa: 0.0000 0.0000 0.5000 [1 per cell]  4 Ni 2.60
Ni: 0.0000 0.0000 0.0000 [1 per cell]  4 Ge 2.44
Ni: 0.0000 0.5000 0.6472 [2 per cell]  3 Ge 2.38-2.60, 2 Pa 2.60
Ni: 0.5000 0.5000 0.0000 [1 per cell]  4 Ge 2.44
Ge: 0.0000 0.5000 0.8810 [2 per cell]  5 Ni 2.38-2.44
Ge: 0.5000 0.5000 0.5000 [1 per cell]  4 Ni 2.60

Calculated values
Formation enthalpy at 0 K = -56.9 kJ per mole of atoms


Nd3NiGe6Pd2 | PBE | optimized geometry

Cell: 5.9592 5.9592 8.1436 Å, 90.00 90.00 120.00°
Closest atoms and distances in Å follow each position.
Space group P-3m1 (No. 164)
Inequivalent atoms, fractional coordinates:
Nd: 0.0000 0.0000 0.0000 [1 per cell]  6 Ge 3.08
Nd: 0.3333 0.6667 0.6385 [2 per cell]  9 Ge 3.03-3.17, 1 Pd 3.25
Ni: 0.0000 0.0000 0.5000 [1 per cell]  6 Ge 2.50
Ge: 0.1830 0.3660 0.2984 [6 per cell]  1 Ni 2.50, 1 Pd 2.63, 2 Ge 2.69
Pd: 0.3333 0.6667 0.0379 [2 per cell]  3 Ge 2.63

Calculated values
Formation enthalpy at 0 K = -43.0 kJ per mole of atoms


For the records above, the corresponding total magnetic moment values read 0.00, 0.00, 0.00, 0.00, 0.00, 0.00, 0.00, 0.00, 0.00, 0.00, 0.00, 11.94, 0.00, 0.00, 0.00, 0.00, 0.00, 0.00, 0.00, 0.00 Bohr magnetons per cell.